Os3CF (PBE, relaxed); energy above the lowest structure with this stoichiometry = 0.000 eV per atom; formation energy (no corrections) = 1.05 eV per atom; space group = Pm-3m (221); energy = -7.906 eV per atom; total magnetic moment = 2.69 μB per formula unit
1.0
4.0610 0.0000 0.0000
0.0000 4.0610 0.0000
0.0000 0.0000 4.0610
C Os F
1 3 1
Direct
0.0000 0.0000 0.0000 C
0.0000 0.5000 0.0000 Os
0.0000 0.0000 0.5000 Os
0.5000 0.0000 0.0000 Os
0.5000 0.5000 0.5000 F

---

BeCdB3 (PBE, relaxed); energy relative to the elements = 1563 meV/atom; energy above the lowest structure with this stoichiometry = 0.000 eV per atom; space group = Pm-3m (221); energy = -3.372 eV per atom; total magnetic moment = 0.00 μB per formula unit
1.0
3.8377 0.0000 0.0000
0.0000 3.8377 0.0000
0.0000 0.0000 3.8377
B Be Cd
3 1 1
Direct
0.5000 0.0000 0.0000 B
0.0000 0.0000 0.5000 B
0.0000 0.5000 0.0000 B
0.0000 0.0000 0.0000 Be
0.5000 0.5000 0.5000 Cd

---

Ba2LiHfSe5 (PBE, relaxed); formation energy (no corrections) = -1.48 eV per atom; space group = Cmc2_1 (36); energy = -5.157 eV per atom; total magnetic moment = 0.00 μB per formula unit
1.0
4.1939 0.0000 0.0000
-2.0969 9.3952 0.0000
0.0000 0.0000 13.0960
Se Ba Hf Li
10 4 2 2
Direct
0.0657 0.1314 0.0503 Se
0.3065 0.6129 0.3787 Se
0.9343 0.8686 0.5503 Se
0.6554 0.3107 0.5050 Se
0.2869 0.5738 0.6526 Se
0.3446 0.6893 0.0050 Se
0.6935 0.3871 0.8787 Se
0.5028 0.0055 0.2748 Se
0.7131 0.4262 0.1526 Se
0.4972 0.9945 0.7748 Se
0.8884 0.7769 0.1888 Ba
0.1116 0.2231 0.6888 Ba
0.1283 0.2567 0.3125 Ba
0.8717 0.7433 0.8125 Ba
0.7967 0.5934 0.5164 Hf
0.2033 0.4066 0.0164 Hf
0.5609 0.1218 0.9449 Li
0.4391 0.8782 0.4449 Li

---

BaBeP2 (PBE, relaxed); energy relative to the elements = -592 meV/atom; energy above the lowest structure with this stoichiometry = 0.000 eV per atom; space group = I-42d (122); energy = -4.710 eV per atom; total magnetic moment = 0.00 μB per formula unit
1.0
5.1454 0.0000 0.0000
0.0000 5.1454 0.0000
2.5727 2.5727 6.9292
Be P Ba
2 4 2
Direct
0.2500 0.7500 0.5000 Be
0.5000 0.5000 0.0000 Be
0.3750 0.6262 0.7500 P
0.3738 0.1250 0.2500 P
0.8750 0.6238 0.7500 P
0.3762 0.6250 0.2500 P
0.0000 0.0000 0.0000 Ba
0.7500 0.2500 0.5000 Ba